Material: CeNdPuTl
Method: DFT, PBE
State: relaxed

Results
Final energy   -6.810 eV/atom
ΔE_f   40 meV per atom
Magnetic moment   35.09 μB per cell
DOS at the Fermi energy   31.80 states/eV/cell

CIF file:
```
data_CeNdPuTl
_cell_length_a 7.679
_cell_length_b 7.679
_cell_length_c 7.679
_cell_angle_alpha 90.00
_cell_angle_beta 90.00
_cell_angle_gamma 90.00
_symmetry_space_group_name_H-M 'F -4 3 m'
_symmetry_Int_Tables_number 216
_symmetry_space_group_name_Hall 'F -4 2 3'
loop_
_atom_site_label
_atom_site_type_symbol
_atom_site_fract_x
_atom_site_fract_y
_atom_site_fract_z
Ce1 Ce 0.000 0.000 0.000
Nd1 Nd 0.250 0.250 0.250
Pu1 Pu 0.250 0.250 0.750
Tl1 Tl 0.000 0.000 0.500
```

=====

Material: Tl2AuI6
Method: DFT, PBE
State: relaxed

Results
Distance to the lowest polymorph of the same formula   0.0 meV per atom
Raw formation energy   -259 meV/atom
Final energy   -2.183 eV/atom
Magnetic moment   0.00 μB per cell
DOS at the Fermi energy   6.75 states/eV/cell

CIF file:
```
data_Tl2AuI6
_cell_length_a 8.150
_cell_length_b 10.219
_cell_length_c 11.800
_cell_angle_alpha 90.00
_cell_angle_beta 116.85
_cell_angle_gamma 90.00
_symmetry_space_group_name_H-M 'P 1 21/c 1'
_symmetry_Int_Tables_number 14
_symmetry_space_group_name_Hall '-P 2ybc'
loop_
_atom_site_label
_atom_site_type_symbol
_atom_site_fract_x
_atom_site_fract_y
_atom_site_fract_z
Tl1 Tl 0.067 0.224 0.096
Au1 Au 0.500 0.000 0.000
I1 I 0.064 0.016 0.339
I2 I 0.329 0.558 0.638
I3 I 0.338 0.247 0.933
```

=====

Material: Pm7Pr3Nd2
Method: DFT, PBE
State: relaxed

Results
Distance to the lowest polymorph of the same formula   0.0 meV per atom
Final energy   -4.690 eV/atom
ΔE_f   71 meV per atom
Magnetic moment   0.00 μB per cell
DOS at the Fermi energy   18.49 states/eV/cell

CIF file:
```
data_Pm7Pr3Nd2
_cell_length_a 6.525
_cell_length_b 3.612
_cell_length_c 18.027
_cell_angle_alpha 90.00
_cell_angle_beta 96.22
_cell_angle_gamma 90.00
_symmetry_space_group_name_H-M 'P 1 2/m 1'
_symmetry_Int_Tables_number 10
_symmetry_space_group_name_Hall '-P 2y'
loop_
_atom_site_label
_atom_site_type_symbol
_atom_site_fract_x
_atom_site_fract_y
_atom_site_fract_z
Pm1 Pm 0.000 0.000 0.000
Pm2 Pm 0.225 0.500 0.167
Pm3 Pm 0.256 0.500 0.499
Pm4 Pm 0.272 0.000 0.834
Pr1 Pr 0.452 0.000 0.339
Pr2 Pr 0.500 0.500 0.000
Nd1 Nd 0.056 0.500 0.671
```